Ca2V2Mo after structural relaxation, computed with PBE-GGA.

Output
* energy relative to the elements: 0.6386 eV per atom
* Fermi-level density of states: 5.7 states/eV/f.u.
* relative energy among the computed polymorphs: 0.0 meV/atom

Lattice parameters (Å, degrees): 6.3830 6.3830 5.3823 90.00 90.00 90.00
Fractional coordinates of all 10 atoms:
Ca  0.1849  0.3151  0.0000
Ca  0.3151  0.8151  0.0000
Ca  0.6849  0.1849  0.0000
Ca  0.8151  0.6849  0.0000
V  0.1432  0.6432  0.5000
V  0.3568  0.1432  0.5000
V  0.6432  0.8568  0.5000
V  0.8568  0.3568  0.5000
Mo  0.0000  0.0000  0.5000
Mo  0.5000  0.5000  0.5000